8
Lattice="4.232 0.000 0.000 0.689 5.225 0.000 1.921 1.095 5.040" Properties=species:S:1:pos:R:3 comment="PBE-GGA PmZnF6, relaxed" crystal_system=triclinic e_form_raw_ev_per_atom=-2.82 total_magnetization_mub_per_cell=1.1 volume_a3_per_atom=13.93 dos_at_fermi_per_ev_atom=0.305 mass_density_g_cm3=4.833 e_tot_ev_per_atom=-4.979 space_group=P-1 pbc="T T T"
Pm 0.000 0.000 0.000
Zn 3.421 3.160 2.520
F 1.992 1.937 2.806
F 2.709 4.395 3.851
F 2.793 4.280 0.791
F 4.050 2.041 4.249
F 4.133 1.926 1.189
F 4.851 4.384 2.234